1.
Material: Nb3CdBr
Method: DFT, GGA-PBE
State: optimized geometry

a = 5.095 Å, b = 5.095 Å, c = 5.095 Å
α = 90.00°, β = 90.00°, γ = 90.00°
Space group Pm-3m (No. 221)
Asymmetric unit:
Nb: 0.000 0.000 0.500 (multiplicity 3)
Cd: 0.000 0.000 0.000 (multiplicity 1)
Br: 0.500 0.500 0.500 (multiplicity 1)

Energy relative to the elements, uncorrected = 2.03 eV/atom
Volume = 132.27 Å³ per cell
DOS(E_F) = 9.11 states/eV/cell

2.
Material: Ce6Ir2Se3S
Method: DFT, GGA-PBE
State: optimized geometry

a = 18.317 Å, b = 4.073 Å, c = 8.500 Å
α = 90.00°, β = 105.43°, γ = 90.00°
Space group C2/m (No. 12)
Asymmetric unit:
Ce: 0.007 0.000 0.245 (multiplicity 4)
Ce: 0.166 0.500 0.102 (multiplicity 4)
Ce: 0.172 0.500 0.573 (multiplicity 4)
Ir: 0.167 0.000 0.334 (multiplicity 4)
Se: 0.000 0.500 0.500 (multiplicity 2)
Se: 0.163 0.000 0.837 (multiplicity 4)
S: 0.000 0.500 0.000 (multiplicity 2)

Energy relative to the elements, uncorrected = -1.46 eV/atom
Volume = 611.28 Å³ per cell
DOS(E_F) = 65.24 states/eV/cell

3.
Material: SrTcN3
Method: DFT, GGA-PBE
State: optimized geometry

a = 4.0831 Å, b = 4.0831 Å, c = 8.1341 Å
α = 90.00°, β = 90.00°, γ = 120.00°
Space group P6_3/mmc (No. 194)
Asymmetric unit:
Sr: 0.3333 0.6667 0.2500 (multiplicity 2)
Tc: 0.0000 0.0000 0.0000 (multiplicity 2)
N: 0.0000 0.0000 0.2500 (multiplicity 2)
N: 0.3333 0.6667 0.5460 (multiplicity 4)

Energy relative to the elements, uncorrected = 0.61 eV/atom
Volume = 117.44 Å³ per cell
DOS(E_F) = 6.85 states/eV/cell

4.
Material: AcDy4In5
Method: DFT, GGA-PBE
State: optimized geometry

a = 3.810 Å, b = 3.810 Å, c = 19.316 Å
α = 90.00°, β = 90.00°, γ = 90.00°
Space group P4/mmm (No. 123)
Asymmetric unit:
Ac: 0.000 0.000 0.000 (multiplicity 1)
Dy: 0.000 0.000 0.213 (multiplicity 2)
Dy: 0.000 0.000 0.405 (multiplicity 2)
In: 0.500 0.500 0.119 (multiplicity 2)
In: 0.500 0.500 0.310 (multiplicity 2)
In: 0.500 0.500 0.500 (multiplicity 1)

ΔH_f (0 K) = -437.4 kJ/mol of formula units
Volume = 280.36 Å³ per cell
DOS(E_F) = 5.62 states/eV/cell

5.
Material: PaGa3Cu2
Method: DFT, GGA-PBE
State: optimized geometry

a = 4.2648 Å, b = 4.2648 Å, c = 13.0626 Å
α = 90.00°, β = 90.00°, γ = 120.00°
Space group P6_3/mmc (No. 194)
Asymmetric unit:
Pa: 0.0000 0.0000 0.2500 (multiplicity 2)
Ga: 0.0000 0.0000 0.0000 (multiplicity 2)
Ga: 0.3333 0.6667 0.1178 (multiplicity 4)
Cu: 0.3333 0.6667 0.6063 (multiplicity 4)

ΔH_f (0 K) = -111.0 kJ/mol of formula units
Volume = 205.76 Å³ per cell
DOS(E_F) = 8.95 states/eV/cell

6.
Material: SrPrZnIn
Method: DFT, GGA-PBE
State: optimized geometry

a = 3.855 Å, b = 3.855 Å, c = 8.014 Å
α = 90.00°, β = 90.00°, γ = 90.00°
Space group P4mm (No. 99)
Asymmetric unit:
Sr: 0.000 0.000 0.000 (multiplicity 1)
Pr: 0.000 0.000 0.530 (multiplicity 1)
Zn: 0.500 0.500 0.740 (multiplicity 1)
In: 0.500 0.500 0.280 (multiplicity 1)

ΔH_f (0 K) = -133.7 kJ/mol of formula units
Volume = 119.07 Å³ per cell
DOS(E_F) = 2.79 states/eV/cell

7.
Material: CaRu2O6
Method: DFT, GGA-PBE
State: optimized geometry

a = 5.2742 Å, b = 5.2742 Å, c = 4.8712 Å
α = 90.00°, β = 90.00°, γ = 120.00°
Space group P-31m (No. 162)
Asymmetric unit:
Ca: 0.0000 0.0000 0.0000 (multiplicity 1)
Ru: 0.3333 0.6667 0.5000 (multiplicity 2)
O: 0.0000 0.3758 0.7130 (multiplicity 6)

Energy relative to the elements, uncorrected = -1.40 eV/atom
Volume = 117.35 Å³ per cell
DOS(E_F) = 2.43 states/eV/cell

8.
Material: PrNd2Th
Method: DFT, GGA-PBE
State: optimized geometry

a = 5.173 Å, b = 5.173 Å, c = 5.165 Å
α = 90.00°, β = 90.00°, γ = 90.00°
Space group P4/mmm (No. 123)
Asymmetric unit:
Pr: 0.000 0.000 0.000 (multiplicity 1)
Nd: 0.000 0.500 0.500 (multiplicity 2)
Th: 0.500 0.500 0.000 (multiplicity 1)

ΔH_f (0 K) = 25.1 kJ/mol of formula units
Volume = 138.22 Å³ per cell
DOS(E_F) = 4.87 states/eV/cell

9.
Material: CaYAlAu
Method: DFT, GGA-PBE
State: optimized geometry

a = 7.287 Å, b = 7.287 Å, c = 7.287 Å
α = 90.00°, β = 90.00°, γ = 90.00°
Space group F-43m (No. 216)
Asymmetric unit:
Ca: 0.000 0.000 0.000 (multiplicity 4)
Y: 0.000 0.000 0.500 (multiplicity 4)
Al: 0.250 0.250 0.750 (multiplicity 4)
Au: 0.250 0.250 0.250 (multiplicity 4)

ΔH_f (0 K) = -202.7 kJ/mol of formula units
Volume = 386.96 Å³ per cell
DOS(E_F) = 13.86 states/eV/cell

10.
Material: UTiGe2
Method: DFT, GGA-PBE
State: optimized geometry

a = 3.0145 Å, b = 3.0145 Å, c = 27.9923 Å
α = 90.00°, β = 90.00°, γ = 120.00°
Space group R-3m (No. 166, hexagonal axes)
Asymmetric unit:
U: 0.0000 0.0000 0.0000 (multiplicity 3)
Ti: 0.0000 0.0000 0.5000 (multiplicity 3)
Ge: 0.0000 0.0000 0.2423 (multiplicity 6)

ΔH_f (0 K) = -63.9 kJ/mol of formula units
Volume = 220.30 Å³ per cell
DOS(E_F) = 17.66 states/eV/cell

11.
Material: Mo8Cl
Method: DFT, GGA-PBE
State: optimized geometry

a = 7.987 Å, b = 7.987 Å, c = 4.544 Å
α = 90.00°, β = 90.00°, γ = 90.00°
Space group I4/mmm (No. 139)
Asymmetric unit:
Mo: 0.000 0.335 0.000 (multiplicity 8)
Mo: 0.170 0.170 0.500 (multiplicity 8)
Cl: 0.000 0.000 0.000 (multiplicity 2)

Energy relative to the elements, uncorrected = 0.54 eV/atom
Volume = 289.92 Å³ per cell
DOS(E_F) = 15.92 states/eV/cell

12.
Material: Os2Ru
Method: DFT, GGA-PBE
State: optimized geometry

a = 7.3703 Å, b = 7.3703 Å, c = 2.7293 Å
α = 90.00°, β = 90.00°, γ = 120.00°
Space group P-62m (No. 189)
Asymmetric unit:
Os: 0.0000 0.3025 0.0000 (multiplicity 3)
Os: 0.0000 0.6393 0.5000 (multiplicity 3)
Ru: 0.0000 0.0000 0.5000 (multiplicity 1)
Ru: 0.3333 0.6667 0.0000 (multiplicity 2)

ΔH_f (0 K) = 43.8 kJ/mol of formula units
Volume = 128.39 Å³ per cell
DOS(E_F) = 7.58 states/eV/cell

So what do the calculations give for mass density? Going down the list: 5.9 8.1 6.4 8.6 9.2 5.7 4.8 7.9 6.1 9.8 9.2 18.7 g/cm³.
So what do the calculations give for E_tot? Going down the list: -4.5337 -7.1176 -6.7931 -4.0742 -4.6532 -2.9648 -6.9938 -5.3688 -4.3967 -7.2701 -9.2898 -10.4272 eV per atom.